First-principles (GGA-PBE) data for a relaxed structure of KTmZnS3, as listed in OQMD via LeMat-Bulk.

Summary:
For the energy, the calculation gives -4.552 eV/atom. The size of the total moment comes out at 0.00 μB/f.u.

```
12
Lattice="-0.352 7.041 5.257 -3.868 7.124 3.409 -2.783 -6.130 5.022" Properties=species:S:1:pos:R:3 pbc="T T T"
Tm -6.081 6.098 11.847
Tm -0.922 1.936 1.841
Zn -2.851 5.953 5.692
Zn -4.153 2.081 7.996
S -3.502 4.017 6.844
S -3.586 7.617 7.166
S -3.417 0.417 6.521
S -5.231 4.213 10.145
S 0.000 0.000 0.000
S -1.772 3.821 3.543
K -2.195 -1.447 4.113
K -4.808 9.481 9.574
```